Entry 1:
This record from the Alexandria database describes a relaxed structure of Li2AgBr. The functional is PBE.

Computed properties:
SG: Immm, No. 71
formation energy (no corrections): -509 meV/atom
offset from the most stable computed form: 146.3 meV per atom

a = 5.611 Å, b = 5.611 Å, c = 5.611 Å
α = 141.27°, β = 96.05°, γ = 96.57°
Sites, in units of the cell vectors:
Ag 0.750 0.250 0.500
Li 0.482 0.482 0.000
Li 0.018 0.018 0.000
Br 0.250 0.750 0.500

***

Entry 2:
This record from the Alexandria database describes a relaxed structure of LiAg2Br6. The functional is PBE.

Computed properties:
SG: P2_1/c, No. 14
formation energy (no corrections): -407 meV/atom

a = 6.850 Å, b = 6.691 Å, c = 12.367 Å
α = 90.00°, β = 75.98°, γ = 90.00°
Sites, in units of the cell vectors:
Br 0.686 0.188 0.901
Br 0.665 0.193 0.562
Br 0.642 0.431 0.220
Br 0.358 0.569 0.780
Br 0.814 0.688 0.599
Br 0.335 0.807 0.438
Br 0.142 0.069 0.720
Br 0.314 0.812 0.099
Br 0.835 0.693 0.938
Br 0.858 0.931 0.280
Br 0.165 0.307 0.062
Br 0.186 0.312 0.401
Ag 0.015 0.382 0.842
Ag 0.985 0.618 0.158
Ag 0.515 0.118 0.342
Ag 0.485 0.882 0.658
Li 0.500 0.500 0.000
Li 0.000 0.000 0.500

***

Entry 3:
This record from the Alexandria database describes a relaxed structure of LiAg3Br6. The functional is PBE.

Computed properties:
SG: P2_1/c, No. 14
formation energy (no corrections): -474 meV/atom
offset from the most stable computed form: 0.0 meV per atom

a = 6.887 Å, b = 7.193 Å, c = 11.653 Å
α = 90.00°, β = 82.00°, γ = 90.00°
Sites, in units of the cell vectors:
Br 0.293 0.805 0.076
Br 0.793 0.695 0.576
Br 0.320 0.806 0.416
Br 0.207 0.305 0.424
Br 0.680 0.194 0.584
Br 0.173 0.071 0.766
Br 0.707 0.195 0.924
Br 0.827 0.929 0.234
Br 0.180 0.306 0.084
Br 0.327 0.571 0.734
Br 0.820 0.694 0.916
Br 0.673 0.429 0.266
Ag 0.514 0.108 0.332
Ag 0.986 0.608 0.168
Ag 0.000 0.000 0.500
Ag 0.486 0.892 0.668
Ag 0.500 0.500 0.000
Ag 0.014 0.392 0.832
Li 0.000 0.000 0.000
Li 0.500 0.500 0.500

***

Entry 4:
This record from the Alexandria database describes a relaxed structure of LiAg2Br. The functional is PBE.

Computed properties:
SG: Fm-3m, No. 225
formation energy (no corrections): 45 meV/atom
offset from the most stable computed form: 476.3 meV per atom

a = 4.876 Å, b = 4.876 Å, c = 4.876 Å
α = 60.00°, β = 60.00°, γ = 60.00°
Sites, in units of the cell vectors:
Br 0.500 0.500 0.500
Ag 0.250 0.250 0.250
Ag 0.750 0.750 0.750
Li 0.000 0.000 0.000